Here is crystalline SiTe2Se at its relaxed geometry from the Alexandria database. Energies are from PBE-GGA.

Structure (CIF):
```
data_SiTe2Se
_cell_length_a 3.9387
_cell_length_b 3.9955
_cell_length_c 7.6508
_cell_angle_alpha 90.00
_cell_angle_beta 90.00
_cell_angle_gamma 90.00
_symmetry_space_group_name_H-M 'P 1'
_symmetry_Int_Tables_number 1
loop_
_symmetry_equiv_pos_as_xyz
'x,y,z'
loop_
_atom_site_label
_atom_site_type_symbol
_atom_site_fract_x
_atom_site_fract_y
_atom_site_fract_z
Si1 Si 0.0000 0.0000 0.0000
Te1 Te 0.5000 0.0000 0.5000
Te2 Te 0.5000 0.5000 0.0000
Se1 Se 0.0000 0.5000 0.5000
```

Output
- E: -3.413 eV per atom
- Energy relative to the elements, uncorrected: 385 meV per atom

***

Here is crystalline SiTeSe2 at its relaxed geometry from the Alexandria database. Energies are from PBE-GGA.

Structure (CIF):
```
data_SiTeSe2
_cell_length_a 3.4083
_cell_length_b 3.4083
_cell_length_c 11.2466
_cell_angle_alpha 98.54
_cell_angle_beta 98.54
_cell_angle_gamma 60.01
_symmetry_space_group_name_H-M 'P 1'
_symmetry_Int_Tables_number 1
loop_
_symmetry_equiv_pos_as_xyz
'x,y,z'
loop_
_atom_site_label
_atom_site_type_symbol
_atom_site_fract_x
_atom_site_fract_y
_atom_site_fract_z
Si1 Si 0.0000 0.0000 0.0000
Te1 Te 0.5000 0.5000 0.5000
Se1 Se 0.2900 0.2900 0.8674
Se2 Se 0.7100 0.7100 0.1326
```

Output
- E: -3.962 eV per atom
- Energy relative to the elements, uncorrected: -78 meV per atom

***

Here is crystalline SiTeSe2 at its relaxed geometry from the Alexandria database. Energies are from PBE-GGA.

Structure (CIF):
```
data_SiTeSe2
_cell_length_a 5.1912
_cell_length_b 3.3876
_cell_length_c 5.6774
_cell_angle_alpha 90.00
_cell_angle_beta 104.49
_cell_angle_gamma 90.00
_symmetry_space_group_name_H-M 'P 1'
_symmetry_Int_Tables_number 1
loop_
_symmetry_equiv_pos_as_xyz
'x,y,z'
loop_
_atom_site_label
_atom_site_type_symbol
_atom_site_fract_x
_atom_site_fract_y
_atom_site_fract_z
Si1 Si 0.0000 0.0000 0.0000
Te1 Te 0.0000 0.0000 0.5000
Se1 Se 0.3531 0.5000 0.1551
Se2 Se 0.6469 0.5000 0.8449
```

Output
- E: -3.825 eV per atom
- Energy relative to the elements, uncorrected: 58 meV per atom

***

Here is crystalline SiTe2Se at its relaxed geometry from the Alexandria database. Energies are from PBE-GGA.

Structure (CIF):
```
data_SiTe2Se
_cell_length_a 3.4583
_cell_length_b 3.4583
_cell_length_c 8.3173
_cell_angle_alpha 90.00
_cell_angle_beta 90.00
_cell_angle_gamma 90.00
_symmetry_space_group_name_H-M 'P 1'
_symmetry_Int_Tables_number 1
loop_
_symmetry_equiv_pos_as_xyz
'x,y,z'
loop_
_atom_site_label
_atom_site_type_symbol
_atom_site_fract_x
_atom_site_fract_y
_atom_site_fract_z
Si1 Si 0.0000 0.0000 0.0000
Te1 Te 0.0000 0.0000 0.5174
Te2 Te 0.5000 0.5000 0.2770
Se1 Se 0.5000 0.5000 0.8690
```

Output
- E: -3.476 eV per atom
- Energy relative to the elements, uncorrected: 322 meV per atom

***

Here is crystalline SiTe2Se at its relaxed geometry from the Alexandria database. Energies are from PBE-GGA.

Structure (CIF):
```
data_SiTe2Se
_cell_length_a 3.0953
_cell_length_b 3.0953
_cell_length_c 10.6806
_cell_angle_alpha 90.00
_cell_angle_beta 90.00
_cell_angle_gamma 105.43
_symmetry_space_group_name_H-M 'P 1'
_symmetry_Int_Tables_number 1
loop_
_symmetry_equiv_pos_as_xyz
'x,y,z'
loop_
_atom_site_label
_atom_site_type_symbol
_atom_site_fract_x
_atom_site_fract_y
_atom_site_fract_z
Si1 Si 0.0000 0.0000 0.0000
Te1 Te 0.5000 0.5000 0.2121
Te2 Te 0.5000 0.5000 0.7879
Se1 Se 0.0000 0.0000 0.5000
```

Output
- E: -3.303 eV per atom
- Energy relative to the elements, uncorrected: 495 meV per atom

***

Here is crystalline Si2TeSe2 at its relaxed geometry from the Alexandria database. Energies are from PBE-GGA.

Structure (CIF):
```
data_Si2TeSe2
_cell_length_a 5.6395
_cell_length_b 5.6395
_cell_length_c 5.6395
_cell_angle_alpha 129.28
_cell_angle_beta 129.28
_cell_angle_gamma 74.56
_symmetry_space_group_name_H-M 'P 1'
_symmetry_Int_Tables_number 1
loop_
_symmetry_equiv_pos_as_xyz
'x,y,z'
loop_
_atom_site_label
_atom_site_type_symbol
_atom_site_fract_x
_atom_site_fract_y
_atom_site_fract_z
Si1 Si 0.1424 0.1424 0.0000
Si2 Si 0.8576 0.8576 0.0000
Te1 Te 0.5000 0.5000 0.0000
Se1 Se 0.2500 0.7500 0.5000
Se2 Se 0.7500 0.2500 0.5000
```

Output
- E: -3.966 eV per atom
- Energy relative to the elements, uncorrected: 226 meV per atom

***

Here is crystalline SiTeSe2 at its relaxed geometry from the Alexandria database. Energies are from PBE-GGA.

Structure (CIF):
```
data_SiTeSe2
_cell_length_a 8.8394
_cell_length_b 8.8394
_cell_length_c 8.8394
_cell_angle_alpha 23.89
_cell_angle_beta 23.89
_cell_angle_gamma 23.89
_symmetry_space_group_name_H-M 'P 1'
_symmetry_Int_Tables_number 1
loop_
_symmetry_equiv_pos_as_xyz
'x,y,z'
loop_
_atom_site_label
_atom_site_type_symbol
_atom_site_fract_x
_atom_site_fract_y
_atom_site_fract_z
Si1 Si 0.0000 0.0000 0.0000
Te1 Te 0.5000 0.5000 0.5000
Se1 Se 0.3900 0.3900 0.3900
Se2 Se 0.6100 0.6100 0.6100
```

Output
- E: -3.865 eV per atom
- Energy relative to the elements, uncorrected: 19 meV per atom

***

Here is crystalline SiTe2Se at its relaxed geometry from the Alexandria database. Energies are from PBE-GGA.

Structure (CIF):
```
data_SiTe2Se
_cell_length_a 7.6483
_cell_length_b 7.6483
_cell_length_c 7.6483
_cell_angle_alpha 154.55
_cell_angle_beta 136.22
_cell_angle_gamma 51.33
_symmetry_space_group_name_H-M 'P 1'
_symmetry_Int_Tables_number 1
loop_
_symmetry_equiv_pos_as_xyz
'x,y,z'
loop_
_atom_site_label
_atom_site_type_symbol
_atom_site_fract_x
_atom_site_fract_y
_atom_site_fract_z
Si1 Si 0.0000 0.0000 0.0000
Te1 Te 0.1700 0.6700 0.5000
Te2 Te 0.6024 0.6024 0.0000
Se1 Se 0.8832 0.3832 0.5000
```

Output
- E: -3.607 eV per atom
- Energy relative to the elements, uncorrected: 190 meV per atom

***

Here is crystalline SiTe2Se at its relaxed geometry from the Alexandria database. Energies are from PBE-GGA.

Structure (CIF):
```
data_SiTe2Se
_cell_length_a 12.1049
_cell_length_b 12.1049
_cell_length_c 12.1049
_cell_angle_alpha 14.78
_cell_angle_beta 14.78
_cell_angle_gamma 14.78
_symmetry_space_group_name_H-M 'P 1'
_symmetry_Int_Tables_number 1
loop_
_symmetry_equiv_pos_as_xyz
'x,y,z'
loop_
_atom_site_label
_atom_site_type_symbol
_atom_site_fract_x
_atom_site_fract_y
_atom_site_fract_z
Si1 Si 0.0000 0.0000 0.0000
Te1 Te 0.0755 0.0755 0.0755
Te2 Te 0.9245 0.9245 0.9245
Se1 Se 0.5000 0.5000 0.5000
```

Output
- E: -3.271 eV per atom
- Energy relative to the elements, uncorrected: 527 meV per atom

***

Here is crystalline SiTeSe2 at its relaxed geometry from the Alexandria database. Energies are from PBE-GGA.

Structure (CIF):
```
data_SiTeSe2
_cell_length_a 7.8067
_cell_length_b 7.8067
_cell_length_c 7.8067
_cell_angle_alpha 151.49
_cell_angle_beta 151.49
_cell_angle_gamma 40.76
_symmetry_space_group_name_H-M 'P 1'
_symmetry_Int_Tables_number 1
loop_
_symmetry_equiv_pos_as_xyz
'x,y,z'
loop_
_atom_site_label
_atom_site_type_symbol
_atom_site_fract_x
_atom_site_fract_y
_atom_site_fract_z
Si1 Si 0.0000 0.0000 0.0000
Te1 Te 0.5000 0.5000 0.0000
Se1 Se 0.2500 0.7500 0.5000
Se2 Se 0.7500 0.2500 0.5000
```

Output
- E: -3.469 eV per atom
- Energy relative to the elements, uncorrected: 414 meV per atom

***

Here is crystalline SiTeSe2 at its relaxed geometry from the Alexandria database. Energies are from PBE-GGA.

Structure (CIF):
```
data_SiTeSe2
_cell_length_a 4.1191
_cell_length_b 4.1735
_cell_length_c 5.7566
_cell_angle_alpha 90.00
_cell_angle_beta 91.02
_cell_angle_gamma 90.00
_symmetry_space_group_name_H-M 'P 1'
_symmetry_Int_Tables_number 1
loop_
_symmetry_equiv_pos_as_xyz
'x,y,z'
loop_
_atom_site_label
_atom_site_type_symbol
_atom_site_fract_x
_atom_site_fract_y
_atom_site_fract_z
Si1 Si 0.0000 0.0000 0.0000
Te1 Te 0.5000 0.5000 0.5000
Se1 Se 0.0000 0.0000 0.5000
Se2 Se 0.5000 0.5000 0.0000
```

Output
- E: -3.704 eV per atom
- Energy relative to the elements, uncorrected: 179 meV per atom

***

Here is crystalline SiTe2Se at its relaxed geometry from the Alexandria database. Energies are from PBE-GGA.

Structure (CIF):
```
data_SiTe2Se
_cell_length_a 5.1186
_cell_length_b 5.1186
_cell_length_c 5.1186
_cell_angle_alpha 60.00
_cell_angle_beta 60.00
_cell_angle_gamma 60.00
_symmetry_space_group_name_H-M 'P 1'
_symmetry_Int_Tables_number 1
loop_
_symmetry_equiv_pos_as_xyz
'x,y,z'
loop_
_atom_site_label
_atom_site_type_symbol
_atom_site_fract_x
_atom_site_fract_y
_atom_site_fract_z
Si1 Si 0.0000 0.0000 0.0000
Te1 Te 0.5000 0.5000 0.5000
Te2 Te 0.7500 0.7500 0.7500
Se1 Se 0.2500 0.2500 0.2500
```

Output
- E: -3.303 eV per atom
- Energy relative to the elements, uncorrected: 495 meV per atom